Model one:
Computed, not measured: crystalline Ac2Ga2Ag3 at its relaxed geometry at the GGA-PBE level of DFT.

Cell: 4.548 20.842 7.504 Å, 90.00 90.00 90.00°
Space group Cmcm (No. 63)
Asymmetric unit:
Ac 0.000 0.055 0.250
Ac 0.000 0.165 0.750
Ga 0.000 0.314 0.566
Ag 0.000 0.219 0.250
Ag 0.000 0.438 0.065

Values from the calculation:
magnetic moment: 0.00 Bohr magnetons per cell



Model two:
Computed, not measured: crystalline Ac2Ga2Ag3 at its relaxed geometry at the GGA-PBE level of DFT.

Cell: 4.255 19.741 4.377 Å, 90.00 90.00 90.00°
Space group Cmmm (No. 65)
Asymmetric unit:
Ac 0.000 0.158 0.000
Ga 0.000 0.286 0.500
Ag 0.000 0.000 0.000
Ag 0.000 0.431 0.500

Values from the calculation:
magnetic moment: 0.00 Bohr magnetons per cell



Energies relative to the most stable structure are model one 0; model two 109, reported in meV/atom.